1.
Below is a geometry-optimized Tm5HfSb6 structure, with properties calculated at the GGA-PBE level.

energy relative to the elements, uncorrected: -11.44 eV/f.u.

Lattice parameters (Å, degrees): 7.433 7.433 7.430 99.64 99.64 119.97
Atoms (fractional coordinates):
Sb 0.406 0.080 0.243
Sb 0.920 0.594 0.757
Sb 0.241 0.241 0.752
Sb 0.759 0.759 0.248
Sb 0.080 0.406 0.243
Sb 0.594 0.920 0.757
Tm 0.829 0.171 0.500
Tm 0.665 0.335 0.000
Tm 0.500 0.500 0.500
Tm 0.335 0.665 0.000
Tm 0.171 0.829 0.500
Hf 0.000 0.000 0.000

---

2.
Below is a geometry-optimized HfB2PdAu structure, with properties calculated at the GGA-PBE level.

final energy: -24.1 eV per cell

Lattice parameters (Å, degrees): 4.360 5.202 4.360 90.00 90.00 90.00
Atoms (fractional coordinates):
Hf 0.000 0.000 0.000
B 0.000 0.000 0.500
B 0.500 0.000 0.000
Au 0.000 0.500 0.000
Pd 0.500 0.500 0.500

---

3.
Below is a geometry-optimized SiPSe2N structure, with properties calculated at the GGA-PBE level.

E above lowest polymorph: 0.000 eV/atom
energy relative to the elements, uncorrected: 2.62 eV/f.u.

Lattice parameters (Å, degrees): 5.028 5.028 3.310 90.00 90.00 90.00
Atoms (fractional coordinates):
P 0.500 0.500 0.500
Si 0.000 0.000 0.000
Se 0.000 0.500 0.000
Se 0.500 0.000 0.000
N 0.000 0.000 0.500

---

4.
Below is a geometry-optimized PrLuAgSn structure, with properties calculated at the GGA-PBE level.

final energy: -18.0 eV per cell

Lattice parameters (Å, degrees): 5.295 5.295 5.295 60.00 60.00 60.00
Atoms (fractional coordinates):
Pr 0.500 0.500 0.500
Lu 0.000 0.000 0.000
Sn 0.250 0.250 0.250
Ag 0.750 0.750 0.750

---

5.
Below is a geometry-optimized Ba2PaSeS3 structure, with properties calculated at the GGA-PBE level.

energy relative to the elements, uncorrected: -12.56 eV/f.u.

Lattice parameters (Å, degrees): 5.512 5.291 8.747 107.60 108.37 90.00
Atoms (fractional coordinates):
Ba 0.637 0.637 0.274
Ba 0.363 0.363 0.726
Pa 0.000 0.000 0.000
Se 0.500 0.000 0.000
S 0.000 0.500 0.000
S 0.169 0.169 0.337
S 0.831 0.831 0.663

---

6.
Below is a geometry-optimized Li2HoHgAu2 structure, with properties calculated at the GGA-PBE level.

final energy: -18.7 eV per cell

Lattice parameters (Å, degrees): 4.582 4.582 6.398 90.00 90.00 120.00
Atoms (fractional coordinates):
Li 0.333 0.667 0.659
Li 0.667 0.333 0.341
Ho 0.000 0.000 0.000
Hg 0.000 0.000 0.500
Au 0.333 0.667 0.226
Au 0.667 0.333 0.774

---

7.
Below is a geometry-optimized CsInHg2I structure, with properties calculated at the GGA-PBE level.

energy relative to the elements, uncorrected: -2.30 eV/f.u.

Lattice parameters (Å, degrees): 5.754 5.754 6.756 90.00 90.00 90.00
Atoms (fractional coordinates):
Cs 0.500 0.500 0.500
I 0.000 0.000 0.500
Hg 0.000 0.500 0.000
Hg 0.500 0.000 0.000
In 0.000 0.000 0.000

---

8.
Below is a geometry-optimized ScVPb2 structure, with properties calculated at the GGA-PBE level.

E above lowest polymorph: 0.000 eV/atom

Lattice parameters (Å, degrees): 5.059 5.059 5.059 60.00 60.00 60.00
Atoms (fractional coordinates):
Pb 0.250 0.250 0.250
Pb 0.750 0.750 0.750
Sc 0.000 0.000 0.000
V 0.500 0.500 0.500

---

9.
Below is a geometry-optimized Al2RuAu structure, with properties calculated at the GGA-PBE level.

final energy: -21.1 eV per cell

Lattice parameters (Å, degrees): 2.888 2.888 8.273 90.00 90.00 114.78
Atoms (fractional coordinates):
Ru 0.500 0.500 0.750
Au 0.500 0.500 0.250
Al 0.000 0.000 0.980
Al 0.000 0.000 0.520

---

10.
Below is a geometry-optimized HfB structure, with properties calculated at the GGA-PBE level.

final energy: -67.8 eV per cell

Lattice parameters (Å, degrees): 4.843 4.843 4.772 90.00 90.00 90.00
Atoms (fractional coordinates):
Hf 0.196 0.196 0.000
Hf 0.696 0.304 0.500
Hf 0.304 0.696 0.500
Hf 0.804 0.804 0.000
B 0.359 0.641 0.000
B 0.859 0.859 0.500
B 0.141 0.141 0.500
B 0.641 0.359 0.000

---

11.
Below is a geometry-optimized Cu4PbCl7 structure, with properties calculated at the GGA-PBE level.

energy relative to the elements, uncorrected: -7.70 eV/f.u.

Lattice parameters (Å, degrees): 7.657 9.650 9.650 118.76 90.00 90.00
Atoms (fractional coordinates):
Cu 0.500 0.704 0.296
Cu 0.000 0.296 0.704
Cu 0.000 0.704 0.296
Cu 0.250 0.705 0.949
Cu 0.250 0.949 0.705
Cu 0.500 0.296 0.704
Cu 0.750 0.051 0.295
Cu 0.750 0.295 0.051
Pb 0.750 0.762 0.762
Pb 0.250 0.238 0.238
Cl 0.250 0.950 0.950
Cl 0.994 0.431 0.187
Cl 0.750 0.050 0.050
Cl 0.006 0.569 0.813
Cl 0.494 0.813 0.569
Cl 0.250 0.212 0.775
Cl 0.506 0.431 0.187
Cl 0.994 0.187 0.431
Cl 0.750 0.225 0.788
Cl 0.006 0.813 0.569
Cl 0.250 0.775 0.212
Cl 0.506 0.187 0.431
Cl 0.750 0.788 0.225
Cl 0.494 0.569 0.813

---

12.
Below is a geometry-optimized Cs2YSnS structure, with properties calculated at the GGA-PBE level.

energy relative to the elements, uncorrected: -0.04 eV/f.u.

Lattice parameters (Å, degrees): 7.995 5.020 7.995 90.00 90.00 90.00
Atoms (fractional coordinates):
Cs 0.000 0.000 0.500
Cs 0.500 0.000 0.000
Y 0.000 0.000 0.000
S 0.000 0.500 0.000
Sn 0.500 0.500 0.500